Compound: AcGaPtI
Source: Alexandria via LeMat-Bulk
Functional: GGA-PBE
Structure: optimized geometry

Calculated values
uncorrected formation energy = -1113 meV/atom
space-group type = R-3m

a = 14.9928 Å, b = 14.9928 Å, c = 14.9928 Å
α = 17.42°, β = 17.42°, γ = 17.42°
Closest atoms and distances in Å follow each position.
Sites, in units of the cell vectors:
Ac (0.0719, 0.0719, 0.0719)  3 Pt 3.12, 3 Ga 3.40, 3 I 3.46
Ac (0.9281, 0.9281, 0.9281)  3 Pt 3.12, 3 Ga 3.40, 3 I 3.46
Ga (0.3102, 0.3102, 0.3102)  4 Pt 2.52-2.66
Ga (0.6898, 0.6898, 0.6898)  4 Pt 2.52-2.66
Pt (0.3670, 0.3670, 0.3670)  4 Ga 2.52-2.66
Pt (0.6330, 0.6330, 0.6330)  4 Ga 2.52-2.66
I (0.2104, 0.2104, 0.2104)  3 Ac 3.46
I (0.7896, 0.7896, 0.7896)  3 Ac 3.46